# 1
Computed, not measured: a geometry-optimized ZnSiSe2 structure at the PBE-GGA level of DFT.

* formation energy (no corrections): 0.2 eV per formula unit
* M_tot: 0.00 μB/f.u.
* VASP energy: -3.368 eV/atom
* V: 22.36 A^3/atom

Unit cell a=6.9143 b=6.9143 c=6.9143 alpha=151.53 beta=145.29 gamma=45.48
Fractional positions:
Se (0.8923, 0.8923, 0.0000)
Se (0.6077, 0.6077, 0.0000)
Si (0.7500, 0.2500, 0.5000)
Zn (0.2500, 0.7500, 0.5000)

***

# 2
Computed, not measured: a geometry-optimized Re4OsPt structure at the PBE-GGA level of DFT.

* energy relative to the elements: 505 meV per atom
* M_tot: 0.00 μB/f.u.
* VASP energy: -10.672 eV/atom
* V: 15.82 A^3/atom

Unit cell a=5.1197 b=5.1197 c=5.1197 alpha=60.00 beta=60.00 gamma=60.00
Fractional positions:
Re (0.6258, 0.6258, 0.1225)
Re (0.6258, 0.1225, 0.6258)
Re (0.6258, 0.6258, 0.6258)
Re (0.1225, 0.6258, 0.6258)
Os (0.2500, 0.2500, 0.2500)
Pt (0.0000, 0.0000, 0.0000)

***

# 3
Computed, not measured: a geometry-optimized KSbTe3Au structure at the PBE-GGA level of DFT.

* formation energy (no corrections): -2.0 eV per formula unit
* M_tot: 0.00 μB/f.u.
* VASP energy: -3.318 eV/atom
* V: 34.71 A^3/atom

Unit cell a=4.3950 b=9.7694 c=10.0957 alpha=106.06 beta=90.00 gamma=90.00
Fractional positions:
K (0.2500, 0.1820, 0.2426)
K (0.7500, 0.8180, 0.7574)
Sb (0.2500, 0.6627, 0.1329)
Sb (0.7500, 0.3373, 0.8671)
Te (0.7500, 0.8764, 0.1271)
Te (0.2500, 0.1236, 0.8729)
Te (0.2500, 0.7609, 0.4541)
Te (0.7500, 0.2391, 0.5459)
Te (0.7500, 0.4544, 0.1721)
Te (0.2500, 0.5456, 0.8279)
Au (0.2500, 0.0791, 0.5679)
Au (0.7500, 0.9209, 0.4321)

***

# 4
Computed, not measured: a geometry-optimized TlAgTe2 structure at the PBE-GGA level of DFT.

* formation energy (no corrections): 0.5 eV per formula unit
* M_tot: 0.00 μB/f.u.
* VASP energy: -2.744 eV/atom
* V: 28.75 A^3/atom

Unit cell a=7.9403 b=7.9403 c=6.6958 alpha=53.63 beta=53.63 gamma=90.00
Fractional positions:
Tl (0.7500, 0.2500, 0.5000)
Tl (0.2500, 0.7500, 0.5000)
Te (0.7889, 0.2889, 0.0000)
Te (0.2111, 0.7111, 0.0000)
Te (0.2889, 0.2111, 0.0000)
Te (0.7111, 0.7889, 0.0000)
Ag (0.7500, 0.7500, 0.5000)
Ag (0.2500, 0.2500, 0.5000)

***

# 5
Computed, not measured: a geometry-optimized LaPr6Te8 structure at the PBE-GGA level of DFT.

* formation energy (no corrections): -22.3 eV per formula unit
* M_tot: 0.00 μB/f.u.
* VASP energy: -5.401 eV/atom
* V: 34.84 A^3/atom

Unit cell a=9.0414 b=9.0414 c=9.0414 alpha=60.00 beta=60.00 gamma=60.00
Fractional positions:
La (0.0000, 0.0000, 0.0000)
Pr (0.0000, 0.5000, 0.5000)
Pr (0.5000, 0.0000, 0.0000)
Pr (0.5000, 0.5000, 0.0000)
Pr (0.0000, 0.0000, 0.5000)
Pr (0.0000, 0.5000, 0.0000)
Pr (0.5000, 0.0000, 0.5000)
Te (0.7500, 0.7500, 0.7500)
Te (0.2500, 0.2500, 0.2500)
Te (0.7432, 0.2568, 0.2568)
Te (0.2568, 0.7432, 0.7432)
Te (0.2568, 0.2568, 0.7432)
Te (0.7432, 0.7432, 0.2568)
Te (0.7432, 0.2568, 0.7432)
Te (0.2568, 0.7432, 0.2568)

***

# 6
Computed, not measured: a geometry-optimized Tl3Sn2HgPb3 structure at the PBE-GGA level of DFT.

* energy relative to the elements: 28 meV per atom
* M_tot: 0.00 μB/f.u.
* VASP energy: -2.920 eV/atom
* V: 29.75 A^3/atom

Unit cell a=3.5182 b=9.3748 c=9.3748 alpha=120.00 beta=90.00 gamma=90.00
Fractional positions:
Tl (0.5000, 0.7088, 0.0000)
Tl (0.5000, 0.0000, 0.7088)
Tl (0.5000, 0.2912, 0.2912)
Sn (0.5000, 0.6667, 0.3333)
Sn (0.5000, 0.3333, 0.6667)
Hg (0.0000, 0.0000, 0.0000)
Pb (0.0000, 0.6305, 0.6305)
Pb (0.0000, 0.0000, 0.3695)
Pb (0.0000, 0.3695, 0.0000)

***

# 7
Computed, not measured: a geometry-optimized NaBrF3 structure at the PBE-GGA level of DFT.

* formation energy (no corrections): -7.7 eV per formula unit
* M_tot: 0.00 μB/f.u.
* VASP energy: -3.258 eV/atom
* excess energy over the best structure of this formula in the dataset: 0.0 kJ per mole of atoms
* V: 16.12 A^3/atom

Unit cell a=4.7206 b=3.9343 c=4.9499 alpha=82.90 beta=93.77 gamma=63.12
Fractional positions:
Na (0.3250, 0.0251, 0.2248)
Br (0.8250, 0.0250, 0.7250)
F (0.6453, 0.3417, 0.3618)
F (0.0047, 0.7081, 0.0883)
F (0.3251, 0.0251, 0.7252)

***

# 8
Computed, not measured: a geometry-optimized Tl2PdWC structure at the PBE-GGA level of DFT.

* energy relative to the elements: 1753 meV per atom
* M_tot: 3.27 μB/f.u.
* VASP energy: -4.668 eV/atom
* V: 22.72 A^3/atom

Unit cell a=5.5009 b=3.7534 c=5.5009 alpha=90.00 beta=90.00 gamma=90.00
Fractional positions:
C (0.0000, 0.5000, 0.0000)
Tl (0.0000, 0.0000, 0.5000)
Tl (0.5000, 0.0000, 0.0000)
Pd (0.0000, 0.0000, 0.0000)
W (0.5000, 0.5000, 0.5000)